# PBE Pr4SbTeAs2, relaxed
data_Pr4SbTeAs2
_chemical_formula_sum 'Pr4 Sb1 Te1 As2'
_space_group_name_H-M_alt 'P 1 2/m 1'
_space_group_IT_number 10
_cell_length_a 7.6338
_cell_length_b 4.4083
_cell_length_c 7.7203
_cell_angle_alpha 90.00
_cell_angle_beta 109.17
_cell_angle_gamma 90.00
loop_
_space_group_symop_operation_xyz
'x,y,z'
'-x,-y,-z'
'-x,y,-z'
'x,-y,z'
loop_
_atom_site_label
_atom_site_fract_x
_atom_site_fract_y
_atom_site_fract_z
Pr1 0.2391 0.0000 0.2281
Pr2 0.2533 0.5000 0.7683
Sb1 0.0000 0.0000 0.5000
Te1 0.5000 0.5000 0.5000
As1 0.0000 0.5000 0.0000
As2 0.5000 0.0000 0.0000
# - formation energy (no corrections) (meV/atom) = -1453
# - calculated density (g/cm³) = 6.5
# - spin magnetization (μB/cell) = 0.0
# - N(E_F) (states/eV per atom) = 0.202

---

# PBE MgAl2Os, relaxed
data_MgAl2Os
_chemical_formula_sum 'Mg1 Al2 Os1'
_space_group_name_H-M_alt 'P 1 m 1'
_space_group_IT_number 6
_cell_length_a 2.9470
_cell_length_b 4.1533
_cell_length_c 5.3177
_cell_angle_alpha 90.00
_cell_angle_beta 105.84
_cell_angle_gamma 90.00
loop_
_space_group_symop_operation_xyz
'x,y,z'
'x,-y,z'
loop_
_atom_site_label
_atom_site_fract_x
_atom_site_fract_y
_atom_site_fract_z
Mg1 0.0000 0.0000 0.0000
Al1 0.2559 0.0000 0.4887
Al2 0.3927 0.5000 0.7799
Os1 0.6724 0.5000 0.3264
# - calculated density (g/cm³) = 7.1
# - spin magnetization (μB/cell) = 0.0
# - N(E_F) (states/eV per atom) = 0.706
# - distance to the lowest polymorph of the same formula (meV/atom) = 202
# - calculated formation energy (eV per formula unit) = -0.148

---

# PBE DyZrCu2, relaxed
data_DyZrCu2
_chemical_formula_sum 'Dy1 Zr1 Cu2'
_space_group_name_H-M_alt 'P 4/m m m'
_space_group_IT_number 123
_space_group_name_Hall '-P 4 2'
_cell_length_a 3.3736
_cell_length_b 3.3736
_cell_length_c 6.7475
_cell_angle_alpha 90.00
_cell_angle_beta 90.00
_cell_angle_gamma 90.00
loop_
_atom_site_label
_atom_site_fract_x
_atom_site_fract_y
_atom_site_fract_z
Dy1 0.0000 0.0000 0.0000
Zr1 0.0000 0.0000 0.5000
Cu1 0.5000 0.5000 0.2786
# - calculated density (g/cm³) = 8.2
# - spin magnetization (μB/cell) = 0.8
# - N(E_F) (states/eV per atom) = 1.080
# - distance to the lowest polymorph of the same formula (meV/atom) = 0
# - calculated formation energy (eV per formula unit) = -0.596

---

# PBE CaHfVBr2, relaxed
data_CaHfVBr2
_chemical_formula_sum 'Ca1 Hf1 V1 Br2'
_space_group_name_H-M_alt 'P 4/m m m'
_space_group_IT_number 123
_space_group_name_Hall '-P 4 2'
_cell_length_a 5.1591
_cell_length_b 5.1591
_cell_length_c 4.9476
_cell_angle_alpha 90.00
_cell_angle_beta 90.00
_cell_angle_gamma 90.00
loop_
_atom_site_label
_atom_site_fract_x
_atom_site_fract_y
_atom_site_fract_z
Ca1 0.0000 0.0000 0.0000
Hf1 0.5000 0.5000 0.0000
V1 0.5000 0.5000 0.5000
Br1 0.0000 0.5000 0.5000
# - formation energy (no corrections) (meV/atom) = 267
# - calculated density (g/cm³) = 5.4
# - spin magnetization (μB/cell) = 0.5
# - N(E_F) (states/eV per atom) = 0.995